# PBE LiMgSb2, optimized geometry
# formation energy (no corrections) = -0.270 eV per atom
# E = -3.208 eV per atom
# total moment = 0.00 Bohr magnetons per cell
data_LiMgSb2
_chemical_formula_sum 'Li2 Mg2 Sb4'
_symmetry_space_group_name_H-M 'C 1 2/m 1'
_symmetry_Int_Tables_number 12
_symmetry_space_group_name_Hall '-C 2y'
_cell_length_a 6.695
_cell_length_b 8.529
_cell_length_c 3.299
_cell_angle_alpha 90.00
_cell_angle_beta 96.53
_cell_angle_gamma 90.00
loop_
_atom_site_label
_atom_site_fract_x
_atom_site_fract_y
_atom_site_fract_z
_atom_site_occupancy
Li1 0.000 0.000 0.000 1
Mg1 0.000 0.500 0.000 1
Sb1 0.250 0.250 0.500 1

# PBE Li2MgSb, optimized geometry
# formation energy (no corrections) = -0.173 eV per atom
# E = -2.559 eV per atom
# total moment = 0.00 Bohr magnetons per cell
data_Li2MgSb
_chemical_formula_sum 'Li6 Mg3 Sb3'
_symmetry_space_group_name_H-M 'R -3 m'
_symmetry_Int_Tables_number 166
_symmetry_space_group_name_Hall '-R 3 2"'
_cell_length_a 3.3418
_cell_length_b 3.3418
_cell_length_c 28.3015
_cell_angle_alpha 90.00
_cell_angle_beta 90.00
_cell_angle_gamma 120.00
loop_
_atom_site_label
_atom_site_fract_x
_atom_site_fract_y
_atom_site_fract_z
_atom_site_occupancy
Li1 0.0000 0.0000 0.2410 1
Mg1 0.0000 0.0000 0.0000 1
Sb1 0.0000 0.0000 0.5000 1

# PBE LiMg2Sb, optimized geometry
# formation energy (no corrections) = -0.127 eV per atom
# E = -2.433 eV per atom
# total moment = 0.00 Bohr magnetons per cell
data_LiMg2Sb
_chemical_formula_sum 'Li2 Mg4 Sb2'
_symmetry_space_group_name_H-M 'C m m 2'
_symmetry_Int_Tables_number 35
_symmetry_space_group_name_Hall 'C 2 -2'
_cell_length_a 4.186
_cell_length_b 4.902
_cell_length_c 8.947
_cell_angle_alpha 90.00
_cell_angle_beta 90.00
_cell_angle_gamma 90.00
loop_
_atom_site_label
_atom_site_fract_x
_atom_site_fract_y
_atom_site_fract_z
_atom_site_occupancy
Li1 0.000 0.000 0.000 1
Mg1 0.000 0.000 0.516 1
Mg2 0.000 0.500 0.257 1
Sb1 0.000 0.500 0.773 1

# PBE Li4MgSb, optimized geometry
# formation energy (no corrections) = -0.147 eV per atom
# E = -2.376 eV per atom
# total moment = 0.00 Bohr magnetons per cell
data_Li4MgSb
_chemical_formula_sum 'Li16 Mg4 Sb4'
_symmetry_space_group_name_H-M 'F -4 3 m'
_symmetry_Int_Tables_number 216
_symmetry_space_group_name_Hall 'F -4 2 3'
_cell_length_a 7.705
_cell_length_b 7.705
_cell_length_c 7.705
_cell_angle_alpha 90.00
_cell_angle_beta 90.00
_cell_angle_gamma 90.00
loop_
_atom_site_label
_atom_site_fract_x
_atom_site_fract_y
_atom_site_fract_z
_atom_site_occupancy
Li1 0.125 0.125 0.125 1
Mg1 0.250 0.250 0.750 1
Sb1 0.000 0.000 0.500 1

# PBE LiMg2Sb, optimized geometry
# formation energy (no corrections) = -0.173 eV per atom
# E = -2.479 eV per atom
# total moment = 0.00 Bohr magnetons per cell
data_LiMg2Sb
_chemical_formula_sum 'Li2 Mg4 Sb2'
_symmetry_space_group_name_H-M 'C 1 m 1'
_symmetry_Int_Tables_number 8
_symmetry_space_group_name_Hall 'C -2y'
_cell_length_a 9.575
_cell_length_b 3.270
_cell_length_c 5.907
_cell_angle_alpha 90.00
_cell_angle_beta 99.92
_cell_angle_gamma 90.00
loop_
_atom_site_label
_atom_site_fract_x
_atom_site_fract_y
_atom_site_fract_z
_atom_site_occupancy
Li1 0.000 0.000 0.000 1
Mg1 0.245 0.000 0.766 1
Mg2 0.492 0.000 0.511 1
Sb1 0.244 0.500 0.225 1

# PBE Li2MgSb, optimized geometry
# formation energy (no corrections) = -0.318 eV per atom
# E = -2.704 eV per atom
# total moment = 0.00 Bohr magnetons per cell
data_Li2MgSb
_chemical_formula_sum 'Li8 Mg4 Sb4'
_symmetry_space_group_name_H-M 'F -4 3 m'
_symmetry_Int_Tables_number 216
_symmetry_space_group_name_Hall 'F -4 2 3'
_cell_length_a 6.946
_cell_length_b 6.946
_cell_length_c 6.946
_cell_angle_alpha 90.00
_cell_angle_beta 90.00
_cell_angle_gamma 90.00
loop_
_atom_site_label
_atom_site_fract_x
_atom_site_fract_y
_atom_site_fract_z
_atom_site_occupancy
Li1 0.000 0.000 0.000 1
Li2 0.250 0.250 0.250 1
Mg1 0.000 0.000 0.500 1
Sb1 0.250 0.250 0.750 1